# 1
Zr2NiSb | Alexandria via LeMat-Bulk | GGA-PBE | relaxed; raw formation energy = -540 meV/atom; mass density = 7.5 g/cm3; final energy = -29.16 eV/cell
1.0
3.854 0.000 0.000
0.000 3.921 0.000
-1.925 0.000 5.308
Zr Ni Sb
2 1 1
direct
0.000 0.000 0.000
0.310 0.500 0.620
0.559 0.500 0.124
0.719 0.000 0.438

***

# 2
CsWAu3 | Alexandria via LeMat-Bulk | GGA-PBE | relaxed; energy of formation = 0.599 eV/atom; mass density = 10.5 g/cm3; final energy = -20.64 eV/cell; relative energy among the computed polymorphs = 0 meV per atom
1.0
5.243 0.000 0.000
0.000 5.243 0.000
0.000 0.000 5.243
Cs W Au
1 1 3
direct
0.000 0.000 0.000
0.500 0.500 0.500
0.000 0.500 0.500
0.500 0.000 0.500
0.500 0.500 0.000

***

# 3
KNaBi3 | Alexandria via LeMat-Bulk | GGA-PBE | relaxed; energy of formation = 0.203 eV/atom; mass density = 6.2 g/cm3; final energy = -13.04 eV/cell; relative energy among the computed polymorphs = 346 meV per atom
1.0
5.695 0.000 0.000
0.000 5.695 0.000
0.000 0.000 5.695
K Na Bi
1 1 3
direct
0.000 0.000 0.000
0.500 0.500 0.500
0.000 0.500 0.500
0.500 0.000 0.500
0.500 0.500 0.000